[1]
A plane-wave DFT calculation with PBE was carried out for a relaxed HfTlZnCl2 crystal.

Unit cell a=5.6754 b=5.6754 c=5.1459 alpha=90.00 beta=90.00 gamma=90.00
Space group P4/mmm (No. 123)
Asymmetric unit:
Hf  0.0000  0.0000  0.0000 [1 per cell]
Tl  0.5000  0.5000  0.5000 [1 per cell]
Zn  0.5000  0.5000  0.0000 [1 per cell]
Cl  0.0000  0.5000  0.5000 [2 per cell]

=====

[2]
A plane-wave DFT calculation with PBE was carried out for a relaxed TmHfCl crystal.

Unit cell a=3.3421 b=5.2259 c=8.0921 alpha=90.00 beta=90.06 gamma=90.00
Space group P2_1/m (No. 11)
Asymmetric unit:
Tm  0.2490  0.2500  0.2926 [2 per cell]
Hf  0.2510  0.7500  0.0430 [2 per cell]
Cl  0.2502  0.7500  0.4171 [2 per cell]

=====

Short version: E_tot = -2.859; -6.184 eV per atom, in the order given.